Below is crystalline Ac6Pt2RhN at its relaxed geometry, with properties calculated at the PBE level.

Calculated values
Volume (Å³ per atom): 33.04
Raw formation energy (meV per atom): -789
Crystal system: triclinic
Size of the total moment (μB/atom): 0.000

Cell: 7.2772 7.4337 8.0093 Å, 92.37 114.77 118.29°
Space group P1 (No. 1)
Asymmetric unit:
Ac 0.0000 0.0000 0.0000 (multiplicity 1)
Ac 0.0067 0.2022 0.4952 (multiplicity 1)
Ac 0.3525 0.8573 0.4897 (multiplicity 1)
Ac 0.3837 0.7069 0.9880 (multiplicity 1)
Ac 0.6593 0.5259 0.5397 (multiplicity 1)
Ac 0.6701 0.3718 0.0066 (multiplicity 1)
Pt 0.1757 0.4432 0.2294 (multiplicity 1)
Pt 0.1771 0.9430 0.7393 (multiplicity 1)
Rh 0.5217 0.1130 0.2651 (multiplicity 1)
N 0.6044 0.6300 0.8301 (multiplicity 1)

---

Below is crystalline Ac5PtRh2N at its relaxed geometry, with properties calculated at the PBE level.

Calculated values
Volume (Å³ per atom): 28.97
Raw formation energy (meV per atom): -770
Crystal system: orthorhombic
Size of the total moment (μB/atom): 0.000

Cell: 4.3657 19.1627 12.4679 Å, 90.00 90.00 90.00°
Space group Cmc2_1 (No. 36)
Asymmetric unit:
Ac 0.0000 0.0105 0.0000 (multiplicity 4)
Ac 0.0000 0.1457 0.2462 (multiplicity 4)
Ac 0.0000 0.1655 0.5974 (multiplicity 4)
Ac 0.0000 0.2102 0.9260 (multiplicity 4)
Ac 0.0000 0.4673 0.2587 (multiplicity 4)
Pt 0.0000 0.3039 0.2611 (multiplicity 4)
Rh 0.0000 0.3793 0.5305 (multiplicity 4)
Rh 0.0000 0.3847 0.9152 (multiplicity 4)
N 0.0000 0.0422 0.6718 (multiplicity 4)

---

Below is crystalline Ac5Pt2RhN at its relaxed geometry, with properties calculated at the PBE level.

Calculated values
Volume (Å³ per atom): 29.37
Raw formation energy (meV per atom): -917
Crystal system: orthorhombic
Size of the total moment (μB/atom): 0.000

Cell: 4.3187 18.5484 13.1982 Å, 90.00 90.00 90.00°
Space group Cmc2_1 (No. 36)
Asymmetric unit:
Ac 0.0000 0.0069 0.0000 (multiplicity 4)
Ac 0.0000 0.1483 0.2461 (multiplicity 4)
Ac 0.0000 0.1784 0.6126 (multiplicity 4)
Ac 0.0000 0.2106 0.9211 (multiplicity 4)
Ac 0.0000 0.4674 0.2468 (multiplicity 4)
Pt 0.0000 0.3696 0.5651 (multiplicity 4)
Pt 0.0000 0.3888 0.9172 (multiplicity 4)
Rh 0.0000 0.3041 0.2699 (multiplicity 4)
N 0.0000 0.0461 0.6609 (multiplicity 4)